Crystalline NdYCS at its relaxed geometry, computed with PBE.

Unit cell a=3.8068 b=3.8068 c=19.5278 alpha=90.00 beta=90.00 gamma=120.00
Space group R3m (No. 160, hexagonal axes)
Inequivalent atoms, fractional coordinates:
Nd  0.0000  0.0000  0.0000 x3
Y  0.0000  0.0000  0.5242 x3
C  0.0000  0.0000  0.2613 x3
S  0.0000  0.0000  0.7676 x3

Values from the calculation:
* M_tot: 0.000 μB per formula unit
* E_form (uncorrected): -4.74 eV/f.u.



Crystalline Nd3SbC at its relaxed geometry, computed with PBE.

Unit cell a=5.081 b=5.081 c=5.081 alpha=90.00 beta=90.00 gamma=90.00
Space group Pm-3m (No. 221)
Inequivalent atoms, fractional coordinates:
Nd  0.000  0.000  0.500 x3
Sb  0.500  0.500  0.500 x1
C  0.000  0.000  0.000 x1

Values from the calculation:
* M_tot: 0.000 μB per formula unit
* E_form (uncorrected): -2.56 eV/f.u.



Crystalline NdSbC at its relaxed geometry, computed with PBE.

Unit cell a=9.895 b=4.007 c=8.319 alpha=90.00 beta=123.53 gamma=90.00
Space group C2/m (No. 12)
Inequivalent atoms, fractional coordinates:
Nd  0.076  0.000  0.306 x4
Sb  0.165  0.500  0.056 x4
C  0.072  0.500  0.517 x4

Values from the calculation:
* M_tot: 0.000 μB per formula unit
* E_form (uncorrected): -0.55 eV/f.u.